[1]
A plane-wave DFT calculation with PBE-GGA was carried out for CaPr3Nd after structural relaxation.

## Properties
**Distance to the lowest polymorph of the same formula**: 190 meV per atom
**Total DFT energy (no corrections)**: -3.88 eV/atom

The structure in CIF format:
```
data_CaPr3Nd
_cell_length_a 6.2633
_cell_length_b 6.2633
_cell_length_c 36.1006
_cell_angle_alpha 90.00
_cell_angle_beta 90.00
_cell_angle_gamma 120.00
_symmetry_space_group_name_H-M 'R -3'
_symmetry_Int_Tables_number 148
_symmetry_space_group_name_Hall '-R 3'
loop_
_atom_site_label
_atom_site_type_symbol
_atom_site_fract_x
_atom_site_fract_y
_atom_site_fract_z
Ca1 Ca 0.0000 0.0000 0.1663
Pr1 Pr 0.0007 0.6635 0.7468
Nd1 Nd 0.0000 0.0000 0.3336
```


[2]
A plane-wave DFT calculation with PBE-GGA was carried out for CaPr7Nd3 after structural relaxation.

## Properties
**Distance to the lowest polymorph of the same formula**: 0 meV per atom
**Total DFT energy (no corrections)**: -4.34 eV/atom

The structure in CIF format:
```
data_CaPr7Nd3
_cell_length_a 7.3570
_cell_length_b 7.3570
_cell_length_c 8.9339
_cell_angle_alpha 90.00
_cell_angle_beta 90.00
_cell_angle_gamma 120.00
_symmetry_space_group_name_H-M 'P 3 m 1'
_symmetry_Int_Tables_number 156
loop_
_symmetry_equiv_pos_as_xyz
'x,y,z'
'-y,x-y,z'
'-x+y,-x,z'
'-y,-x,z'
'-x+y,y,z'
'x,x-y,z'
loop_
_atom_site_label
_atom_site_type_symbol
_atom_site_fract_x
_atom_site_fract_y
_atom_site_fract_z
Ca1 Ca 0.0000 0.0000 0.0000
Pr1 Pr 0.0022 0.5011 0.9924
Pr2 Pr 0.3333 0.6667 0.3196
Pr3 Pr 0.3378 0.1689 0.3349
Nd1 Nd 0.1692 0.3385 0.6564
```


[3]
A plane-wave DFT calculation with PBE-GGA was carried out for CaPr3Nd8 after structural relaxation.

## Properties
**Total DFT energy (no corrections)**: -4.41 eV/atom

The structure in CIF format:
```
data_CaPr3Nd8
_cell_length_a 18.7436
_cell_length_b 3.5840
_cell_length_c 13.3890
_cell_angle_alpha 90.00
_cell_angle_beta 104.23
_cell_angle_gamma 90.00
_symmetry_space_group_name_H-M 'C 1 m 1'
_symmetry_Int_Tables_number 8
loop_
_symmetry_equiv_pos_as_xyz
'x,y,z'
'x,-y,z'
'x+1/2,y+1/2,z'
'x+1/2,-y+1/2,z'
loop_
_atom_site_label
_atom_site_type_symbol
_atom_site_fract_x
_atom_site_fract_y
_atom_site_fract_z
Ca1 Ca 0.0000 0.0000 0.0000
Pr1 Pr 0.1369 0.5000 0.6472
Pr2 Pr 0.3261 0.5000 0.0934
Pr3 Pr 0.4697 0.0000 0.7350
Nd1 Nd 0.1478 0.0000 0.4081
Nd2 Nd 0.1590 0.5000 0.9118
Nd3 Nd 0.1614 0.5000 0.1758
Nd4 Nd 0.3101 0.5000 0.5644
Nd5 Nd 0.3154 0.5000 0.8217
Nd6 Nd 0.3204 0.0000 0.3307
Nd7 Nd 0.4795 0.5000 0.4893
Nd8 Nd 0.4897 0.0000 0.2531
```